# 1
VASP calculation (PBE-GGA) on a relaxed structure of Ce2ErIn2.

a b c (Å): 9.0561 9.0561 3.4951
angles (deg): 90.00 90.00 90.00
With the nearest neighbours (Å) after each atom.
Sites, in units of the cell vectors:
Ce 0.1053 0.3947 0.0000  1 Ce 2.70
Ce 0.3947 0.8947 0.0000  1 Ce 2.70
Ce 0.6053 0.1053 0.0000  1 Ce 2.70
Ce 0.8947 0.6053 0.0000  1 Ce 2.70
Er 0.0000 0.0000 0.0000  2 Er 3.50, 4 Ce 3.70, 8 In 3.73
Er 0.5000 0.5000 0.0000  2 Er 3.50, 4 Ce 3.70, 8 In 3.73
In 0.1880 0.6881 0.5000  6 Ce 3.17-3.27, 2 In 3.50
In 0.3120 0.1880 0.5000  6 Ce 3.17-3.27, 2 In 3.50
In 0.6881 0.8119 0.5000  6 Ce 3.17-3.27, 2 In 3.50
In 0.8119 0.3120 0.5000  6 Ce 3.17-3.27, 2 In 3.50

Space group: No. 127
ΔH_f (0 K) in eV per formula unit: -0.78
Calculated volume in Å³/atom: 28.66
Polymorph energy (0 for the lowest one) in meV per atom: 106
Raw total energy in eV/cell: -45.38

=====

# 2
VASP calculation (PBE-GGA) on a relaxed structure of Pr3ZnH.

a b c (Å): 4.9821 4.9821 4.9821
angles (deg): 90.00 90.00 90.00
With the nearest neighbours (Å) after each atom.
Sites, in units of the cell vectors:
Pr 0.0000 0.0000 0.5000  2 H 2.49
Pr 0.0000 0.5000 0.0000  2 H 2.49
Pr 0.5000 0.0000 0.0000  2 H 2.49
Zn 0.5000 0.5000 0.5000  12 Pr 3.52
H 0.0000 0.0000 0.0000  6 Pr 2.49

Space group: No. 221
Calculated volume in Å³/atom: 24.73
Polymorph energy (0 for the lowest one) in meV per atom: 32
Raw total energy in eV/cell: -19.77

=====

# 3
VASP calculation (PBE-GGA) on a relaxed structure of BeCo2B.

a b c (Å): 5.0787 7.1996 3.5319
angles (deg): 90.00 90.00 90.00
With the nearest neighbours (Å) after each atom.
Sites, in units of the cell vectors:
Be 0.0000 0.1194 0.2500  8 Co 2.20-2.22, 2 B 2.42
Be 0.0000 0.8806 0.7500  8 Co 2.20-2.22, 2 B 2.42
Be 0.5000 0.3806 0.7500  8 Co 2.20-2.22, 2 B 2.42
Be 0.5000 0.6194 0.2500  8 Co 2.20-2.22, 2 B 2.42
Co 0.2366 0.3770 0.2500  4 B 2.11-2.30, 4 Be 2.20-2.22
Co 0.2366 0.6230 0.7500  4 B 2.11-2.30, 4 Be 2.20-2.22
Co 0.2634 0.1230 0.7500  4 B 2.11-2.30, 4 Be 2.20-2.22
Co 0.2634 0.8770 0.2500  4 B 2.11-2.30, 4 Be 2.20-2.22
Co 0.7366 0.1230 0.7500  4 B 2.11-2.30, 4 Be 2.20-2.22
Co 0.7366 0.8770 0.2500  4 B 2.11-2.30, 4 Be 2.20-2.22
Co 0.7634 0.3770 0.2500  4 B 2.11-2.30, 4 Be 2.20-2.22
Co 0.7634 0.6230 0.7500  4 B 2.11-2.30, 4 Be 2.20-2.22
B 0.0000 0.3500 0.7500  8 Co 2.11-2.30
B 0.0000 0.6500 0.2500  8 Co 2.11-2.30
B 0.5000 0.1500 0.2500  8 Co 2.11-2.30
B 0.5000 0.8500 0.7500  8 Co 2.11-2.30

Space group: No. 63
ΔH_f (0 K) in eV per formula unit: -1.38
Calculated volume in Å³/atom: 8.07
Polymorph energy (0 for the lowest one) in meV per atom: 0
Raw total energy in eV/cell: -103.97

=====

# 4
VASP calculation (PBE-GGA) on a relaxed structure of La3AsPb.

a b c (Å): 5.6954 5.6954 5.6954
angles (deg): 90.00 90.00 90.00
With the nearest neighbours (Å) after each atom.
Sites, in units of the cell vectors:
La 0.0000 0.0000 0.5000  2 As 2.85
La 0.0000 0.5000 0.0000  2 As 2.85
La 0.5000 0.0000 0.0000  2 As 2.85
As 0.0000 0.0000 0.0000  6 La 2.85
Pb 0.5000 0.5000 0.5000  12 La 4.03

Space group: No. 221
ΔH_f (0 K) in eV per formula unit: -3.33
Calculated volume in Å³/atom: 36.95
Polymorph energy (0 for the lowest one) in meV per atom: 240
Raw total energy in eV/cell: -26.47

=====

# 5
VASP calculation (PBE-GGA) on a relaxed structure of Ca2Rh.

a b c (Å): 3.4944 3.4944 13.2770
angles (deg): 90.00 90.00 90.00
With the nearest neighbours (Å) after each atom.
Sites, in units of the cell vectors:
Ca 0.0000 0.0000 0.1240  4 Rh 2.97, 1 Ca 3.29
Ca 0.0000 0.0000 0.8760  4 Rh 2.97, 1 Ca 3.29
Ca 0.5000 0.5000 0.3760  4 Rh 2.97, 1 Ca 3.29
Ca 0.5000 0.5000 0.6240  4 Rh 2.97, 1 Ca 3.29
Rh 0.0000 0.0000 0.5000  8 Ca 2.97
Rh 0.5000 0.5000 0.0000  8 Ca 2.97

Space group: No. 139
ΔH_f (0 K) in eV per formula unit: -0.97
Calculated volume in Å³/atom: 27.02
Raw total energy in eV/cell: -24.64

=====

# 6
VASP calculation (PBE-GGA) on a relaxed structure of Cs3NaPu2Cl9.

a b c (Å): 7.8492 7.8492 9.6567
angles (deg): 90.00 90.00 120.00
With the nearest neighbours (Å) after each atom.
Sites, in units of the cell vectors:
Cs 0.0000 0.0000 0.0000  12 Cl 3.91-3.92
Cs 0.3333 0.6667 0.6481  12 Cl 3.81-4.08
Cs 0.6667 0.3333 0.3519  12 Cl 3.81-4.08
Na 0.0000 0.0000 0.5000  6 Cl 2.80
Pu 0.3333 0.6667 0.1723  6 Cl 2.73-2.81
Pu 0.6667 0.3333 0.8277  6 Cl 2.73-2.81
Cl 0.0000 0.5000 0.0000  2 Pu 2.81
Cl 0.1669 0.3339 0.3301  1 Pu 2.73, 1 Na 2.80
Cl 0.1669 0.8331 0.3301  1 Pu 2.73, 1 Na 2.80
Cl 0.3339 0.1669 0.6699  1 Pu 2.73, 1 Na 2.80
Cl 0.5000 0.0000 0.0000  2 Pu 2.81
Cl 0.5000 0.5000 0.0000  2 Pu 2.81
Cl 0.6661 0.8331 0.3301  1 Pu 2.73, 1 Na 2.80
Cl 0.8331 0.1669 0.6699  1 Pu 2.73, 1 Na 2.80
Cl 0.8331 0.6661 0.6699  1 Pu 2.73, 1 Na 2.80

Space group: No. 164
Calculated volume in Å³/atom: 34.35
Energy relative to the elements, uncorrected in eV/atom: -1.9629
Raw total energy in eV/cell: -78.61